A plane-wave DFT calculation with GGA+U was carried out for a relaxed structure of AlFe2PbO6.

## Properties
Electronic total energy (eV per atom): -6.31

Cell: 5.139 5.154 5.595 Å, 90.21 117.19 119.65°
Space group P1 (No. 1)
Unique sites:
Al (0.000, 0.000, 0.000)
Fe (0.583, 0.789, 0.374)
Fe (0.623, 0.313, 0.934)
Pb (0.032, 0.518, 0.545)
O (0.083, 0.714, 0.185)
O (0.130, 0.947, 0.731)
O (0.469, 0.372, 0.182)
O (0.548, 0.605, 0.729)
O (0.784, 0.185, 0.726)
O (0.816, 0.104, 0.185)